[1]
Density functional theory data (meta-GGA SCAN) for a PBEsol-optimized structure of K2LiMn2O4.

abc: 6.3218 6.3218 6.4325
angles: 93.48 93.48 93.92
Last column: nearest neighbours and their distance in Å.
Atoms (fractional coordinates):
K (0.0000, 0.5000, 0.0000)  2 Li 2.77, 8 O 2.78-3.05
K (0.0235, 0.9765, 0.7500)  6 O 2.68-2.74
K (0.5000, 0.0000, 0.5000)  2 Li 2.77, 8 O 2.78-3.05
K (0.9765, 0.0235, 0.2500)  6 O 2.68-2.74
Li (0.3595, 0.6405, 0.2500)  4 O 1.98-2.07
Li (0.6405, 0.3595, 0.7500)  4 O 1.98-2.07
Mn (0.1939, 0.4231, 0.5424)  4 O 1.89-2.01
Mn (0.4231, 0.1939, 0.0424)  4 O 1.89-2.01
Mn (0.5769, 0.8061, 0.9576)  4 O 1.89-2.01
Mn (0.8061, 0.5769, 0.4576)  4 O 1.89-2.01
O (0.1099, 0.6853, 0.4393)  2 Mn 1.92-2.01, 1 Li 2.07
O (0.2957, 0.3311, 0.2676)  2 Mn 1.89-1.98, 1 Li 1.98
O (0.3147, 0.8901, 0.0607)  2 Mn 1.92-2.01, 1 Li 2.07
O (0.3311, 0.2957, 0.7676)  2 Mn 1.89-1.98, 1 Li 1.98
O (0.6689, 0.7043, 0.2324)  2 Mn 1.89-1.98, 1 Li 1.98
O (0.6853, 0.1099, 0.9393)  2 Mn 1.92-2.01, 1 Li 2.07
O (0.7043, 0.6689, 0.7324)  2 Mn 1.89-1.98, 1 Li 1.98
O (0.8901, 0.3147, 0.5607)  2 Mn 1.92-2.01, 1 Li 2.07

E_form (uncorrected) = -1.84 eV per atom
Total magnetization = 9.000 μB/f.u.

---

[2]
Density functional theory data (meta-GGA SCAN) for a PBEsol-optimized structure of Ta3GaNi.

abc: 4.5373 4.5373 4.5373
angles: 90.00 90.00 90.00
Last column: nearest neighbours and their distance in Å.
Atoms (fractional coordinates):
Ta (0.0000, 0.0000, 0.5000)  2 Ni 2.27
Ta (0.0000, 0.5000, 0.0000)  2 Ni 2.27
Ta (0.5000, 0.0000, 0.0000)  2 Ni 2.27
Ga (0.5000, 0.5000, 0.5000)  12 Ta 3.21
Ni (0.0000, 0.0000, 0.0000)  6 Ta 2.27

Total magnetization = 0.000 μB/f.u.
Uncorrected energy = -228.4 eV/cell

---

[3]
Density functional theory data (meta-GGA SCAN) for a PBEsol-optimized structure of TaCrOs2.

abc: 4.3184 4.3184 3.1272
angles: 90.00 90.00 90.00
Last column: nearest neighbours and their distance in Å.
Atoms (fractional coordinates):
Ta (0.0000, 0.0000, 0.0000)  8 Os 2.67
Cr (0.5000, 0.5000, 0.0000)  8 Os 2.67
Os (0.0000, 0.5000, 0.5000)  4 Cr 2.67, 4 Ta 2.67
Os (0.5000, 0.0000, 0.5000)  4 Cr 2.67, 4 Ta 2.67

Total magnetization = 2.949 μB/f.u.
Uncorrected energy = -229.8 eV/cell

---

[4]
Density functional theory data (meta-GGA SCAN) for a PBEsol-optimized structure of SiRuCl2.

abc: 4.5581 3.5032 6.4649
angles: 90.00 110.47 90.00
Last column: nearest neighbours and their distance in Å.
Atoms (fractional coordinates):
Si (0.0000, 0.0000, 0.0000)  2 Ru 2.28
Ru (0.5000, 0.0000, 0.0000)  2 Si 2.28, 4 Cl 2.39
Cl (0.3660, 0.5000, 0.7320)  2 Ru 2.39
Cl (0.6340, 0.5000, 0.2680)  2 Ru 2.39

E_form (uncorrected) = -0.09 eV per atom
Total magnetization = 0.000 μB/f.u.

---

[5]
Density functional theory data (meta-GGA SCAN) for a PBEsol-optimized structure of YMnFe2.

abc: 5.1628 5.1628 5.1628
angles: 143.30 130.40 63.26
Last column: nearest neighbours and their distance in Å.
Atoms (fractional coordinates):
Y (0.0000, 0.0000, 0.0000)  8 Fe 2.73-2.98, 4 Mn 2.91-2.94
Mn (0.7257, 0.2257, 0.5000)  8 Fe 2.73-2.97, 4 Y 2.91-2.94
Fe (0.2675, 0.7675, 0.5000)  2 Fe 2.33
Fe (0.4569, 0.4569, 0.0000)  2 Fe 2.33

Total magnetization = 8.279 μB/f.u.
Uncorrected energy = -81.6 eV/cell

---

[6]
Density functional theory data (meta-GGA SCAN) for a PBEsol-optimized structure of MnSbI2Br.

abc: 5.7579 5.7579 5.5533
angles: 90.00 90.00 90.00
Last column: nearest neighbours and their distance in Å.
Atoms (fractional coordinates):
Mn (0.0000, 0.0000, 0.0000)  8 I 4.00, 4 Sb 4.07
Sb (0.5000, 0.5000, 0.0000)  2 Br 2.78
I (0.0000, 0.5000, 0.5000)  2 Br 2.88
I (0.5000, 0.0000, 0.5000)  2 Br 2.88
Br (0.5000, 0.5000, 0.5000)  2 Sb 2.78, 4 I 2.88

E_form (uncorrected) = 0.78 eV per atom
Total magnetization = 4.303 μB/f.u.

---

[7]
Density functional theory data (meta-GGA SCAN) for a PBEsol-optimized structure of CsInF2.

abc: 8.0272 8.0272 8.0272
angles: 30.33 30.33 30.33
Last column: nearest neighbours and their distance in Å.
Atoms (fractional coordinates):
Cs (0.0000, 0.0000, 0.0000)  2 F 2.59
In (0.5000, 0.5000, 0.5000)  6 F 2.72
F (0.1127, 0.1127, 0.1127)  1 Cs 2.59, 3 In 2.72
F (0.8873, 0.8873, 0.8873)  1 Cs 2.59, 3 In 2.72

E_form (uncorrected) = -1.84 eV per atom
Total magnetization = 0.000 μB/f.u.

---

[8]
Density functional theory data (meta-GGA SCAN) for a PBEsol-optimized structure of Mn2ZnRh.

abc: 2.9994 2.9994 5.6135
angles: 90.00 90.00 90.00
Last column: nearest neighbours and their distance in Å.
Atoms (fractional coordinates):
Mn (0.0000, 0.0000, 0.0000)  4 Mn 2.45, 4 Zn 2.58, 1 Rh 2.72
Mn (0.5000, 0.5000, 0.2178)  4 Mn 2.45, 4 Rh 2.60, 1 Zn 2.69
Zn (0.5000, 0.5000, 0.7387)  4 Rh 2.56, 5 Mn 2.58-2.69
Rh (0.0000, 0.0000, 0.4843)  4 Zn 2.56, 5 Mn 2.60-2.72

Total magnetization = 0.480 μB/f.u.
Uncorrected energy = -85.3 eV/cell

---

DOS(E_F) readings, ordered: 0.07, 0.97, 0.58, 0.28, 0.75, 0.77, 0.07, 0.55 states/eV per atom